## MgNiIO6 (GGA+U)

Data for an optimized crystal structure of MgNiIO6.

a b c (Å): 4.690 4.690 9.160
angles (deg): 90.00 90.00 90.00
Positions (direct):
1 Mg 0.000 0.000 0.000
2 Mg 0.500 0.500 0.500
3 Ni 0.000 0.000 0.329
4 Ni 0.500 0.500 0.829
5 I 0.000 0.000 0.665
6 I 0.500 0.500 0.165
7 O 0.188 0.188 0.508
8 O 0.190 0.190 0.819
9 O 0.212 0.212 0.164
10 O 0.288 0.712 0.664
11 O 0.310 0.690 0.319
12 O 0.312 0.688 0.008
13 O 0.688 0.312 0.008
14 O 0.690 0.310 0.319
15 O 0.712 0.288 0.664
16 O 0.788 0.788 0.164
17 O 0.810 0.810 0.819
18 O 0.812 0.812 0.508

Output
Crystal system: tetragonal
M_tot: 2.06 μB/cell
Calculated total energy: -4.875 eV/atom
Space group: No. 102